No. 1
8
Lattice="4.614 0.000 0.000 -2.307 3.996 0.000 0.000 0.000 8.478" Properties=species:S:1:pos:R:3 comment="CeMgCu2 (GGA-PBE, relaxed)" formation_enthalpy_0k_ev_per_fu=-0.50 pbc="T T T"
Ce 0.000 2.664 2.119
Ce 2.307 1.332 6.358
Mg 0.000 0.000 0.000
Mg 0.000 0.000 4.239
Cu 0.000 2.664 4.991
Cu 0.000 2.664 7.726
Cu 2.307 1.332 0.752
Cu 2.307 1.332 3.487


No. 2
16
Lattice="7.183 -4.091 0.000 7.183 4.091 0.000 -4.791 0.000 7.881" Properties=species:S:1:pos:R:3 comment="La8Ir3Br4O (GGA-PBE, relaxed)" raw_formation_energy_ev_per_atom=-1.385 pbc="T T T"
La 3.664 2.151 5.443
La -0.017 0.000 5.498
La 5.912 2.151 2.438
La 2.383 0.000 2.381
La 7.193 0.000 5.500
La 3.664 -2.151 5.443
La 9.592 0.000 2.384
La 5.912 -2.151 2.438
Ir 1.196 2.045 3.941
Ir 1.196 -2.045 3.941
Ir 4.788 0.000 3.941
Br 0.000 0.000 0.000
Br 3.592 2.045 0.000
Br 3.592 -2.045 0.000
Br 7.183 0.000 0.000
O -2.395 0.000 3.941


No. 3
18
Lattice="4.803 0.000 0.000 0.000 4.803 0.000 0.000 0.000 9.944" Properties=species:S:1:pos:R:3 comment="BiIrPtO6 (GGA-PBE, relaxed)" raw_formation_energy_ev_per_atom=-0.693 pbc="T T T"
Bi 0.000 0.000 0.000
Bi 2.402 2.402 4.972
Ir 0.000 0.000 6.653
Ir 2.402 2.402 1.681
Pt 0.000 0.000 3.302
Pt 2.402 2.402 8.274
O 0.833 0.833 4.993
O 0.947 0.947 8.182
O 1.000 1.000 1.755
O 1.401 3.402 6.727
O 1.454 3.349 3.210
O 1.568 3.235 0.021
O 3.235 1.568 0.021
O 3.349 1.454 3.210
O 3.402 1.401 6.727
O 3.803 3.803 1.755
O 3.856 3.856 8.182
O 3.970 3.970 4.993


No. 4
3
Lattice="3.561 0.000 0.000 -1.780 3.084 0.000 0.000 0.000 5.860" Properties=species:S:1:pos:R:3 comment="CdNiBr (GGA-PBE, relaxed)" raw_formation_energy_ev_per_atom=0.078 relative_energy_mev_per_atom=0 pbc="T T T"
Cd 0.000 0.000 0.000
Ni 1.780 1.028 1.738
Br 0.000 2.056 3.119


No. 5
11
Lattice="6.017 -3.986 0.000 6.017 3.986 0.000 -3.567 0.000 6.269" Properties=species:S:1:pos:R:3 comment="Li3PaCl7 (GGA-PBE, relaxed)" raw_formation_energy_ev_per_atom=-1.820 pbc="T T T"
Li 0.000 0.000 0.000
Li 2.391 2.030 2.383
Li 2.391 -2.030 2.383
Pa 1.399 0.000 6.211
Cl 4.546 2.309 1.287
Cl -0.159 0.000 4.204
Cl 2.791 1.880 4.765
Cl 2.147 0.000 1.184
Cl 7.159 0.000 1.677
Cl 2.791 -1.880 4.765
Cl 4.546 -2.309 1.287


No. 6
4
Lattice="1.991 1.150 9.156 -1.991 1.150 9.156 0.000 -2.299 9.156" Properties=species:S:1:pos:R:3 comment="SmGaCl2 (GGA-PBE, relaxed)" raw_formation_energy_ev_per_atom=-0.907 pbc="T T T"
Sm 0.000 0.000 0.000
Ga 0.000 0.000 13.735
Cl 0.000 0.000 2.689
Cl 0.000 0.000 24.780


No. 7
3
Lattice="0.000 3.155 3.155 3.155 0.000 3.155 3.155 3.155 0.000" Properties=species:S:1:pos:R:3 comment="ZnHgAu (GGA-PBE, relaxed)" relative_energy_mev_per_atom=27 formation_enthalpy_0k_ev_per_fu=0.08 pbc="T T T"
Zn 0.000 0.000 0.000
Hg 4.733 4.733 4.733
Au 1.578 1.578 1.578


No. 8
5
Lattice="5.048 0.000 0.000 0.000 5.048 0.000 0.000 0.000 5.190" Properties=species:S:1:pos:R:3 comment="CrTe2SI (GGA-PBE, relaxed)" raw_formation_energy_ev_per_atom=0.651 relative_energy_mev_per_atom=0 pbc="T T T"
Cr 0.000 0.000 0.000
Te 0.000 2.524 0.000
Te 2.524 0.000 0.000
S 2.524 2.524 2.595
I 0.000 0.000 2.595


No. 9
8
Lattice="6.943 0.000 0.000 0.000 7.060 0.000 0.000 0.000 3.988" Properties=species:S:1:pos:R:3 comment="Sm2SeS (GGA-PBE, relaxed)" raw_formation_energy_ev_per_atom=-1.869 relative_energy_mev_per_atom=64 pbc="T T T"
Sm 1.149 1.719 0.000
Sm 2.322 5.249 1.994
Sm 4.621 1.811 1.994
Sm 5.794 5.340 0.000
Se 0.000 3.530 1.994
Se 3.472 0.000 0.000
S 0.000 0.000 1.994
S 3.472 3.530 0.000


No. 10
8
Lattice="-2.204 2.204 9.726 2.204 -2.204 9.726 2.204 2.204 -9.726" Properties=species:S:1:pos:R:3 comment="RbGaMo2 (GGA-PBE, relaxed)" formation_enthalpy_0k_ev_per_fu=5.58 pbc="T T T"
Rb 0.000 0.000 0.000
Rb 0.000 2.204 4.863
Ga 2.204 0.000 4.863
Ga 0.000 0.000 9.726
Mo 1.102 -0.605 7.294
Mo 1.600 1.102 2.431
Mo 1.102 2.809 -2.431
Mo 0.605 1.102 12.157


No. 11
10
Lattice="7.510 0.000 0.000 0.000 7.510 0.000 0.000 0.000 3.022" Properties=species:S:1:pos:R:3 comment="YMg2Co2 (GGA-PBE, relaxed)" relative_energy_mev_per_atom=159 formation_enthalpy_0k_ev_per_fu=0.96 pbc="T T T"
Y 0.000 0.000 0.000
Y 3.755 3.755 0.000
Mg 0.936 2.818 0.000
Mg 2.818 6.573 0.000
Mg 4.691 0.936 0.000
Mg 6.573 4.691 0.000
Co 1.307 5.062 1.511
Co 2.448 1.307 1.511
Co 5.062 6.203 1.511
Co 6.203 2.448 1.511


No. 12
12
Lattice="6.487 -6.701 0.000 6.487 6.701 0.000 0.000 0.000 7.152" Properties=species:S:1:pos:R:3 comment="RbTl2Br3 (GGA-PBE, relaxed)" raw_formation_energy_ev_per_atom=-0.982 relative_energy_mev_per_atom=178 pbc="T T T"
Rb 6.487 5.200 5.364
Rb 6.487 -5.200 1.788
Tl 4.314 0.000 0.000
Tl 4.314 0.000 3.576
Tl 8.660 0.000 0.000
Tl 8.660 0.000 3.576
Br 2.046 1.248 5.364
Br 2.046 -1.248 1.788
Br 6.487 1.693 1.788
Br 6.487 -1.693 5.364
Br 10.929 1.248 5.364
Br 10.929 -1.248 1.788


The following total moment values (in μB/cell) correspond, in order, to the records above: 1.27 0.31 2.18 0.93 1.00 0.00 0.00 0.00 0.00 0.00 0.00 0.00.